Record 1
# Sn2BiSe

Sn2BiSe after structural relaxation (PBE-GGA, Alexandria via LeMat-Bulk).

a b c (Å): 4.1670 4.1670 24.1581
angles (deg): 90.00 90.00 120.00
Last column: nearest neighbours and their distance in Å.
Space group R3m (No. 160, hexagonal axes)
Inequivalent atoms, fractional coordinates:
Sn  0.0000  0.0000  0.0000 (multiplicity 3)  3 Se 2.90
Sn  0.0000  0.0000  0.1768 (multiplicity 3)  3 Bi 3.10, 3 Se 3.23
Bi  0.0000  0.0000  0.4290 (multiplicity 3)  6 Sn 3.10-3.34
Se  0.0000  0.0000  0.5996 (multiplicity 3)  6 Sn 2.90-3.23

Results
Formation energy without anion corrections (eV/atom): -0.08
Raw total energy (eV/cell): -47.1
N(E_F) (states/eV per cell): 6.16
Excess energy over the best structure of this formula in the dataset (meV per atom): 8

Record 2
# Sn5BiSe7

Sn5BiSe7 after structural relaxation (PBE-GGA, Alexandria via LeMat-Bulk).

a b c (Å): 4.1506 13.9999 25.1127
angles (deg): 90.00 90.00 90.00
Last column: nearest neighbours and their distance in Å.
Space group Cmcm (No. 63)
Inequivalent atoms, fractional coordinates:
Sn  0.0000  0.0000  0.0000 (multiplicity 4)  6 Se 2.96-3.01
Sn  0.0000  0.2679  0.0764 (multiplicity 8)  5 Se 2.83-2.96
Sn  0.0000  0.4665  0.6498 (multiplicity 8)  6 Se 2.90-3.15
Bi  0.0000  0.2175  0.7500 (multiplicity 4)  6 Se 2.94-3.08
Se  0.0000  0.0929  0.6083 (multiplicity 8)  5 Sn 2.92-3.01
Se  0.0000  0.1824  0.1785 (multiplicity 8)  3 Sn 2.83-3.03, 2 Bi 3.08
Se  0.0000  0.3656  0.5378 (multiplicity 8)  6 Sn 2.96-3.18
Se  0.0000  0.4309  0.2500 (multiplicity 4)  2 Sn 2.90, 2 Bi 2.94

Results
Formation energy without anion corrections (eV/atom): -0.40
Raw total energy (eV/cell): -213.8
N(E_F) (states/eV per cell): 20.35

- What is the raw total energy in the first record?
  -47.1 eV/cell

- Which formula does entry 2 have?
  Sn5BiSe7